A geometry-optimized CrCl structure, computed with PBEsol.

SG = Cmcm, No. 63
Fermi-level density of states = 0.346 states/eV/atom
Raw total energy = -5.9637 eV/atom

Lattice parameters (Å, degrees): 3.385 3.976 6.074 109.10 89.97 90.00
Element x y z (fractional)
1 Cr 0.250 0.379 0.759
2 Cr 0.750 0.621 0.241
3 Cl 0.750 0.860 0.720
4 Cl 0.250 0.140 0.280

---

A geometry-optimized Cr3Cl structure, computed with PBEsol.

SG = P4/mmm, No. 123
Energy above the lowest structure with this stoichiometry = 224 meV per atom
Fermi-level density of states = 1.094 states/eV/atom

Lattice parameters (Å, degrees): 2.740 4.102 4.102 90.00 90.00 90.00
Element x y z (fractional)
1 Cl 0.000 0.000 0.000
2 Cr 0.500 0.000 0.500
3 Cr 0.000 0.500 0.500
4 Cr 0.500 0.500 0.000

---

A geometry-optimized CrCl structure, computed with PBEsol.

SG = P-6m2, No. 187
Fermi-level density of states = 0.420 states/eV/atom
Raw total energy = -5.9206 eV/atom

Lattice parameters (Å, degrees): 3.504 3.572 3.572 120.00 90.00 90.00
Element x y z (fractional)
1 Cr 0.500 0.333 0.667
2 Cl 0.000 0.000 0.000

---

A geometry-optimized CrCl structure, computed with PBEsol.

SG = Cmme, No. 67
Fermi-level density of states = 0.725 states/eV/atom
Raw total energy = -6.0321 eV/atom

Lattice parameters (Å, degrees): 3.019 2.999 8.685 90.00 90.00 120.22
Element x y z (fractional)
1 Cr 0.750 0.500 0.410
2 Cr 0.250 0.500 0.590
3 Cl 0.250 0.500 0.200
4 Cl 0.750 0.500 0.800

---

A geometry-optimized CrCl3 structure, computed with PBEsol.

SG = R-3, No. 148
Fermi-level density of states = 0.000 states/eV/atom
Raw total energy = -5.1554 eV/atom

Lattice parameters (Å, degrees): 5.927 5.927 6.905 64.58 64.58 60.00
Element x y z (fractional)
1 Cl 0.073 0.717 0.780
2 Cl 0.717 0.430 0.780
3 Cl 0.927 0.283 0.220
4 Cl 0.570 0.927 0.220
5 Cl 0.283 0.570 0.220
6 Cl 0.430 0.073 0.780
7 Cr 0.667 0.667 0.000
8 Cr 0.333 0.333 0.000

---

A geometry-optimized Cr3Cl structure, computed with PBEsol.

SG = Cmmm, No. 65
Energy above the lowest structure with this stoichiometry = 0 meV per atom
Fermi-level density of states = 0.710 states/eV/atom

Lattice parameters (Å, degrees): 2.799 2.799 7.511 90.00 90.00 116.64
Element x y z (fractional)
1 Cr 0.500 0.500 0.734
2 Cr 0.000 0.000 0.500
3 Cr 0.500 0.500 0.266
4 Cl 0.000 0.000 0.000

---

A geometry-optimized CrCl structure, computed with PBEsol.

SG = P6_3mc, No. 186
Fermi-level density of states = 0.397 states/eV/atom
Raw total energy = -5.9739 eV/atom

Lattice parameters (Å, degrees): 3.653 3.653 7.703 90.00 90.00 120.00
Element x y z (fractional)
1 Cl 0.333 0.667 0.471
2 Cl 0.667 0.333 0.971
3 Cr 0.667 0.333 0.658
4 Cr 0.333 0.667 0.158

---

A geometry-optimized CrCl3 structure, computed with PBEsol.

SG = C2/m, No. 12
Raw total energy = -5.1555 eV/atom

Lattice parameters (Å, degrees): 5.927 5.926 6.309 81.37 72.54 59.99
Element x y z (fractional)
1 Cl 0.430 0.644 0.219
2 Cl 0.214 0.000 0.781
3 Cl 0.074 0.356 0.219
4 Cl 0.786 0.000 0.219
5 Cl 0.570 0.356 0.781
6 Cl 0.926 0.644 0.781
7 Cr 0.167 0.667 0.000
8 Cr 0.833 0.333 0.000

---

A geometry-optimized Cr3Cl structure, computed with PBEsol.

SG = Pm-3m, No. 221
Energy above the lowest structure with this stoichiometry = 1357 meV per atom
Fermi-level density of states = 2.017 states/eV/atom

Lattice parameters (Å, degrees): 4.072 4.072 4.072 90.00 90.00 90.00
Element x y z (fractional)
1 Cr 0.000 0.500 0.000
2 Cr 0.000 0.000 0.500
3 Cr 0.500 0.000 0.000
4 Cl 0.000 0.000 0.000

---

A geometry-optimized Cr3Cl structure, computed with PBEsol.

SG = I4/mmm, No. 139
Energy above the lowest structure with this stoichiometry = 454 meV per atom
Fermi-level density of states = 0.960 states/eV/atom

Lattice parameters (Å, degrees): 3.841 3.841 4.474 115.42 115.42 90.00
Element x y z (fractional)
1 Cr 0.750 0.250 0.500
2 Cr 0.500 0.500 0.000
3 Cr 0.250 0.750 0.500
4 Cl 0.000 0.000 0.000

---

A geometry-optimized Cr3Cl structure, computed with PBEsol.

SG = Imm2, No. 44
Energy above the lowest structure with this stoichiometry = 171 meV per atom
Fermi-level density of states = 1.192 states/eV/atom

Lattice parameters (Å, degrees): 2.722 3.944 5.107 112.71 105.45 90.00
Element x y z (fractional)
1 Cr 0.795 0.488 0.591
2 Cr 0.205 0.898 0.409
3 Cr 0.500 0.445 0.000
4 Cl 0.000 0.003 0.000

---

A geometry-optimized CrCl3 structure, computed with PBEsol.

SG = Cmmm, No. 65
Fermi-level density of states = 0.799 states/eV/atom
Raw total energy = -4.4165 eV/atom

Lattice parameters (Å, degrees): 3.321 3.441 9.329 90.00 90.00 118.85
Element x y z (fractional)
1 Cl 0.000 0.000 0.329
2 Cl 0.500 0.000 0.000
3 Cl 0.000 0.000 0.671
4 Cr 0.500 0.000 0.500